First-principles (GGA-PBE) data for NdAlZnGe2 after structural relaxation, as listed in Alexandria via LeMat-Bulk.

a b c (Å): 6.2392 6.2392 8.8221
angles (deg): 93.54 93.54 39.00
With the nearest neighbours (Å) after each atom.
Element x y z (fractional)
Nd (0.1917, 0.1917, 0.2965)  5 Ge 3.06-3.29, 2 Zn 3.29, 3 Al 3.33
Nd (0.8083, 0.8083, 0.7035)  5 Ge 3.06-3.29, 2 Zn 3.29, 3 Al 3.33
Al (0.4707, 0.4707, 0.2553)  4 Ge 2.55-2.80
Al (0.5293, 0.5293, 0.7447)  4 Ge 2.55-2.80
Zn (0.1627, 0.1627, 0.9045)  4 Ge 2.52-2.63
Zn (0.8373, 0.8373, 0.0955)  4 Ge 2.52-2.63
Ge (0.0986, 0.0986, 0.6128)  2 Al 2.55, 1 Zn 2.63
Ge (0.3842, 0.3842, 0.9515)  3 Zn 2.52-2.61, 2 Al 2.58-2.80, 1 Ge 2.80
Ge (0.6158, 0.6158, 0.0485)  3 Zn 2.52-2.61, 2 Al 2.58-2.80, 1 Ge 2.80
Ge (0.9014, 0.9014, 0.3872)  2 Al 2.55, 1 Zn 2.63

Summary:
- D(E_F): 3.25 states/eV per cell
- Space-group type: No. 12
- Total magnetic moment: 0.0 μB/cell
- Formation energy: -0.31 eV/atom

=====

First-principles (GGA-PBE) data for BaSb2Au after structural relaxation, as listed in Alexandria via LeMat-Bulk.

a b c (Å): 5.4970 5.4970 5.4970
angles (deg): 60.00 60.00 60.00
With the nearest neighbours (Å) after each atom.
Element x y z (fractional)
Ba (0.0000, 0.0000, 0.0000)  8 Sb 3.37
Sb (0.2500, 0.2500, 0.2500)  4 Ba 3.37, 4 Au 3.37
Sb (0.7500, 0.7500, 0.7500)  4 Au 3.37, 4 Ba 3.37
Au (0.5000, 0.5000, 0.5000)  8 Sb 3.37

Summary:
- D(E_F): 2.60 states/eV per cell
- Space-group type: No. 225
- Total magnetic moment: 0.0 μB/cell
- Formation energy (no corrections): -0.143 eV/atom

=====

First-principles (GGA-PBE) data for Nd3SmGe2 after structural relaxation, as listed in Alexandria via LeMat-Bulk.

a b c (Å): 4.5071 4.5071 8.3564
angles (deg): 90.00 90.00 90.00
With the nearest neighbours (Å) after each atom.
Element x y z (fractional)
Nd (0.0000, 0.0000, 0.0000)  4 Sm 3.19, 4 Ge 3.22
Nd (0.0000, 0.5000, 0.6418)  5 Ge 3.06-3.26
Nd (0.5000, 0.0000, 0.3582)  5 Ge 3.06-3.26
Sm (0.5000, 0.5000, 0.0000)  4 Nd 3.19, 4 Ge 3.22
Ge (0.0000, 0.5000, 0.2753)  7 Nd 3.06-3.26, 2 Sm 3.22
Ge (0.5000, 0.0000, 0.7247)  7 Nd 3.06-3.26, 2 Sm 3.22

Summary:
- D(E_F): 7.51 states/eV per cell
- Space-group type: No. 115
- Total magnetic moment: 0.0 μB/cell
- Formation energy: -0.57 eV/atom

=====

First-principles (GGA-PBE) data for Er4Mg5Ag after structural relaxation, as listed in Alexandria via LeMat-Bulk.

a b c (Å): 3.6587 3.6587 18.7132
angles (deg): 90.00 90.00 90.00
With the nearest neighbours (Å) after each atom.
Element x y z (fractional)
Er (0.0000, 0.0000, 0.1053)  8 Mg 3.21-3.25
Er (0.0000, 0.0000, 0.3083)  8 Mg 3.21-3.31, 1 Ag 3.59
Er (0.0000, 0.0000, 0.6917)  8 Mg 3.21-3.31, 1 Ag 3.59
Er (0.0000, 0.0000, 0.8947)  8 Mg 3.21-3.25
Mg (0.5000, 0.5000, 0.0000)  8 Er 3.25
Mg (0.5000, 0.5000, 0.2071)  8 Er 3.21
Mg (0.5000, 0.5000, 0.4190)  4 Ag 3.00, 1 Mg 3.03, 4 Er 3.31
Mg (0.5000, 0.5000, 0.5810)  4 Ag 3.00, 1 Mg 3.03, 4 Er 3.31
Mg (0.5000, 0.5000, 0.7929)  8 Er 3.21
Ag (0.0000, 0.0000, 0.5000)  8 Mg 3.00

Summary:
- D(E_F): 11.26 states/eV per cell
- Space-group type: No. 123
- Total magnetic moment: 0.0 μB/cell
- Formation energy: -0.08 eV/atom

=====

First-principles (GGA-PBE) data for Tl3GaHg after structural relaxation, as listed in Alexandria via LeMat-Bulk.

a b c (Å): 5.5536 5.5536 5.5536
angles (deg): 90.00 90.00 90.00
With the nearest neighbours (Å) after each atom.
Element x y z (fractional)
Tl (0.0000, 0.0000, 0.5000)  2 Ga 2.78
Tl (0.0000, 0.5000, 0.0000)  2 Ga 2.78
Tl (0.5000, 0.0000, 0.0000)  2 Ga 2.78
Ga (0.0000, 0.0000, 0.0000)  6 Tl 2.78
Hg (0.5000, 0.5000, 0.5000)  12 Tl 3.93

Summary:
- D(E_F): 1.92 states/eV per cell
- Space-group type: No. 221
- Total magnetic moment: 0.0 μB/cell
- Formation energy: 0.20 eV/atom
- Distance to the lowest polymorph of the same formula: 0.166 eV/atom

=====

First-principles (GGA-PBE) data for YZrCl2 after structural relaxation, as listed in Alexandria via LeMat-Bulk.

a b c (Å): 3.4922 4.5228 5.7759
angles (deg): 90.00 95.63 90.00
With the nearest neighbours (Å) after each atom.
Element x y z (fractional)
Y (0.0000, 0.0000, 0.0000)  4 Cl 2.85
Zr (0.5000, 0.0000, 0.5000)  4 Cl 2.72
Cl (0.3051, 0.5000, 0.2550)  2 Zr 2.72, 2 Y 2.85, 1 Cl 3.02
Cl (0.6949, 0.5000, 0.7450)  2 Zr 2.72, 2 Y 2.85, 1 Cl 3.02

Summary:
- D(E_F): 3.32 states/eV per cell
- Space-group type: No. 10
- Total magnetic moment: 0.0 μB/cell
- Distance to the lowest polymorph of the same formula: 0.433 eV/atom
- Formation energy (no corrections): -0.897 eV/atom

=====

First-principles (GGA-PBE) data for Zr2ReIr after structural relaxation, as listed in Alexandria via LeMat-Bulk.

a b c (Å): 3.3247 3.3247 6.5228
angles (deg): 90.00 90.00 90.00
With the nearest neighbours (Å) after each atom.
Element x y z (fractional)
Zr (0.0000, 0.0000, 0.2474)  4 Re 2.85, 4 Ir 2.87
Zr (0.0000, 0.0000, 0.7526)  4 Re 2.85, 4 Ir 2.87
Re (0.5000, 0.5000, 0.0000)  8 Zr 2.85
Ir (0.5000, 0.5000, 0.5000)  8 Zr 2.87

Summary:
- D(E_F): 1.68 states/eV per cell
- Space-group type: No. 123
- Total magnetic moment: 0.0 μB/cell
- Formation energy: -0.60 eV/atom

=====

First-principles (GGA-PBE) data for Mn2IrSe after structural relaxation, as listed in Alexandria via LeMat-Bulk.

a b c (Å): 5.5095 5.5095 5.5095
angles (deg): 147.19 134.89 56.89
With the nearest neighbours (Å) after each atom.
Element x y z (fractional)
Mn (0.0000, 0.0000, 0.0000)  4 Ir 2.63
Mn (0.7132, 0.2132, 0.5000)  4 Se 2.68, 2 Ir 2.71, 2 Mn 2.95
Ir (0.4837, 0.4837, 0.0000)  2 Se 2.59, 6 Mn 2.63-2.71
Se (0.2700, 0.7700, 0.5000)  2 Ir 2.59, 4 Mn 2.68

Summary:
- D(E_F): 3.06 states/eV per cell
- Space-group type: No. 44
- Total magnetic moment: 7.9 μB/cell
- Formation energy (no corrections): 0.156 eV/atom

=====

First-principles (GGA-PBE) data for KMn3 after structural relaxation, as listed in Alexandria via LeMat-Bulk.

a b c (Å): 6.1986 6.1986 6.1986
angles (deg): 153.07 59.73 127.77
With the nearest neighbours (Å) after each atom.
Element x y z (fractional)
K (0.0000, 0.0000, 0.0000)  2 K 2.89, 4 Mn 3.09
Mn (0.2879, 0.5018, 0.7861)  4 Mn 2.71-2.89
Mn (0.4998, 0.9998, 0.5000)  6 Mn 2.71-2.89
Mn (0.7157, 0.5018, 0.2139)  4 Mn 2.71-2.89

Summary:
- D(E_F): 3.66 states/eV per cell
- Space-group type: No. 44
- Total magnetic moment: 11.6 μB/cell
- Formation energy: 1.12 eV/atom
- Distance to the lowest polymorph of the same formula: 0.410 eV/atom

=====

First-principles (GGA-PBE) data for NbAu2Se after structural relaxation, as listed in Alexandria via LeMat-Bulk.

a b c (Å): 6.0580 6.0580 6.0580
angles (deg): 101.03 101.03 128.12
With the nearest neighbours (Å) after each atom.
Element x y z (fractional)
Nb (0.0000, 0.0000, 0.0000)  2 Se 2.65, 4 Au 2.82
Nb (0.7500, 0.2500, 0.5000)  2 Se 2.65, 4 Au 2.82
Au (0.1290, 0.1250, 0.5040)  2 Au 2.65, 2 Se 2.78, 2 Nb 2.82
Au (0.3750, 0.8710, 0.9960)  2 Au 2.65, 2 Se 2.78, 2 Nb 2.82
Au (0.6210, 0.6250, 0.4960)  2 Au 2.65, 2 Se 2.78, 2 Nb 2.82
Au (0.8750, 0.3790, 0.0040)  2 Au 2.65, 2 Se 2.78, 2 Nb 2.82
Se (0.2500, 0.7500, 0.5000)  2 Nb 2.65, 4 Au 2.78
Se (0.5000, 0.5000, 0.0000)  2 Nb 2.65, 4 Au 2.78

Summary:
- D(E_F): 3.65 states/eV per cell
- Space-group type: No. 122
- Total magnetic moment: 1.6 μB/cell
- Formation energy (no corrections): 0.095 eV/atom

=====

First-principles (GGA-PBE) data for AcPmGa2 after structural relaxation, as listed in Alexandria via LeMat-Bulk.

a b c (Å): 9.3533 9.3533 9.3533
angles (deg): 24.31 24.31 24.31
With the nearest neighbours (Å) after each atom.
Element x y z (fractional)
Ac (0.0000, 0.0000, 0.0000)  6 Ga 3.31
Pm (0.5000, 0.5000, 0.5000)  6 Ga 3.12
Ga (0.2450, 0.2450, 0.2450)  3 Pm 3.12, 3 Ac 3.31
Ga (0.7550, 0.7550, 0.7550)  3 Pm 3.12, 3 Ac 3.31

Summary:
- D(E_F): 3.37 states/eV per cell
- Space-group type: No. 166
- Total magnetic moment: 0.0 μB/cell
- Formation energy: -0.30 eV/atom
- Distance to the lowest polymorph of the same formula: 0.235 eV/atom

=====

First-principles (GGA-PBE) data for TiTl2Cl5 after structural relaxation, as listed in Alexandria via LeMat-Bulk.

a b c (Å): 8.7413 8.7413 13.6820
angles (deg): 90.00 90.00 147.40
With the nearest neighbours (Å) after each atom.
Element x y z (fractional)
Ti (0.1476, 0.8524, 0.7500)  6 Cl 2.39-2.48
Ti (0.8524, 0.1476, 0.2500)  6 Cl 2.39-2.48
Tl (0.1397, 0.8603, 0.0685)  5 Cl 3.06-3.24
Tl (0.1397, 0.8603, 0.4315)  5 Cl 3.06-3.24
Tl (0.8603, 0.1397, 0.5685)  5 Cl 3.06-3.24
Tl (0.8603, 0.1397, 0.9315)  5 Cl 3.06-3.24
Cl (0.0480, 0.9520, 0.6252)  1 Ti 2.39
Cl (0.0480, 0.9520, 0.8748)  1 Ti 2.39
Cl (0.2520, 0.7480, 0.6215)  1 Ti 2.48
Cl (0.2520, 0.7480, 0.8785)  1 Ti 2.48
Cl (0.3467, 0.6533, 0.2500)  2 Ti 2.46
Cl (0.6533, 0.3467, 0.7500)  2 Ti 2.46
Cl (0.7480, 0.2520, 0.1215)  1 Ti 2.48
Cl (0.7480, 0.2520, 0.3785)  1 Ti 2.48
Cl (0.9520, 0.0480, 0.1252)  1 Ti 2.39
Cl (0.9520, 0.0480, 0.3748)  1 Ti 2.39

Summary:
- D(E_F): 6.81 states/eV per cell
- Space-group type: No. 63
- Total magnetic moment: 2.0 μB/cell
- Formation energy (no corrections): -1.270 eV/atom